Crystalline Pr2HoCo2B2N3 at its relaxed geometry, computed with PBE.

abc: 10.197 10.197 10.197
angles: 159.57 159.57 29.06
Sites, in units of the cell vectors:
B1 0.196 0.196 0.000
B2 0.804 0.804 0.000
Co1 0.750 0.250 0.500
Co2 0.250 0.750 0.500
Ho1 0.000 0.000 0.000
N1 0.120 0.120 0.000
N2 0.500 0.500 0.000
N3 0.880 0.880 0.000
Pr1 0.373 0.373 0.000
Pr2 0.627 0.627 0.000

Summary:
The volume is 129 Å³/cell. The calculation puts the final energy at -7.726 eV per atom.


Crystalline PrHo2Co2B2N3 at its relaxed geometry, computed with PBE.

abc: 10.374 10.374 10.374
angles: 160.48 160.48 27.74
Sites, in units of the cell vectors:
B1 0.196 0.196 0.000
B2 0.804 0.804 0.000
Co1 0.750 0.250 0.500
Co2 0.250 0.750 0.500
Ho1 0.373 0.373 0.000
Ho2 0.627 0.627 0.000
N1 0.122 0.122 0.000
N2 0.500 0.500 0.000
N3 0.878 0.878 0.000
Pr1 0.000 0.000 0.000

Summary:
The volume is 125 Å³/cell. The calculation puts the final energy at -7.764 eV per atom.


Crystalline SmHo2Co2B2N3 at its relaxed geometry, computed with PBE.

abc: 10.302 10.302 10.302
angles: 160.49 160.49 27.73
Sites, in units of the cell vectors:
B1 0.195 0.195 0.000
B2 0.805 0.805 0.000
Co1 0.750 0.250 0.500
Co2 0.250 0.750 0.500
Ho1 0.375 0.375 0.000
Ho2 0.625 0.625 0.000
N1 0.120 0.120 0.000
N2 0.500 0.500 0.000
N3 0.880 0.880 0.000
Sm1 0.000 0.000 0.000

Summary:
The volume is 122 Å³/cell. The calculation puts the final energy at -7.820 eV per atom.


Crystalline TbHoCo2B2N2 at its relaxed geometry, computed with PBE.

abc: 3.481 3.481 7.443
angles: 90.00 90.00 90.00
Sites, in units of the cell vectors:
B1 0.500 0.500 0.351
B2 0.000 0.000 0.650
Co1 0.500 0.000 0.500
Co2 0.000 0.500 0.500
Ho1 0.000 0.000 0.168
N1 0.500 0.500 0.148
N2 0.000 0.000 0.853
Tb1 0.500 0.500 0.831

Summary:
The volume is 90 Å³/cell. The calculation puts the final energy at -7.774 eV per atom.


Crystalline Tb2HoCo2B2N3 at its relaxed geometry, computed with PBE.

abc: 10.213 10.213 10.213
angles: 160.40 160.40 27.86
Sites, in units of the cell vectors:
B1 0.194 0.194 0.000
B2 0.806 0.806 0.000
Co1 0.750 0.250 0.500
Co2 0.250 0.750 0.500
Ho1 0.000 0.000 0.000
N1 0.118 0.118 0.000
N2 0.500 0.500 0.000
N3 0.882 0.882 0.000
Tb1 0.376 0.376 0.000
Tb2 0.624 0.624 0.000

Summary:
The volume is 120 Å³/cell. The calculation puts the final energy at -7.855 eV per atom.


Crystalline Ho2TmCo2B2N3 at its relaxed geometry, computed with PBE.

abc: 10.184 10.184 10.184
angles: 160.58 160.58 27.60
Sites, in units of the cell vectors:
B1 0.193 0.193 0.000
B2 0.807 0.807 0.000
Co1 0.750 0.250 0.500
Co2 0.250 0.750 0.500
Ho1 0.377 0.377 0.000
Ho2 0.623 0.623 0.000
N1 0.116 0.116 0.000
N2 0.500 0.500 0.000
N3 0.884 0.884 0.000
Tm1 0.000 0.000 0.000

Summary:
The volume is 117 Å³/cell. The calculation puts the final energy at -7.873 eV per atom.


Crystalline Y2HoCo2B2N3 at its relaxed geometry, computed with PBE.

abc: 10.232 10.232 10.232
angles: 160.46 160.46 27.76
Sites, in units of the cell vectors:
B1 0.194 0.194 0.000
B2 0.806 0.806 0.000
Co1 0.750 0.250 0.500
Co2 0.250 0.750 0.500
Ho1 0.000 0.000 0.000
N1 0.118 0.118 0.000
N2 0.500 0.500 0.000
N3 0.882 0.882 0.000
Y1 0.376 0.376 0.000
Y2 0.624 0.624 0.000

Summary:
The volume is 120 Å³/cell. The calculation puts the final energy at -8.225 eV per atom.


> What is the final energy in the first record?

-7.726 eV per atom